(1)
! BeSb GGA-PBE optimized geometry; values from VASP
! formation energy without anion corrections = 0.340 eV per atom
! crystal system = hexagonal
! Fermi-level density of states = 0.19 states/eV/atom
! M_tot = 0.000 μB/f.u.
! SG = P6_3/mmc (194)
! offset from the most stable computed form = 16.6 kJ/mol of atoms
&SYSTEM
  ibrav = 0, nat = 8, ntyp = 2
/
ATOMIC_SPECIES
Sb 121.76 Sb.upf
Be 9.01 Be.upf
CELL_PARAMETERS angstrom
1.8745 -3.2467 0.0000
1.8745 3.2467 0.0000
0.0000 0.0000 12.0917
ATOMIC_POSITIONS angstrom
Sb 1.8745 -1.0822 10.7834
Sb 1.8745 1.0822 1.3083
Sb 1.8745 -1.0822 7.3541
Sb 1.8745 1.0822 4.7375
Be 0.0000 0.0000 3.0229
Be 1.8745 1.0822 9.0688
Be 0.0000 0.0000 9.0688
Be 1.8745 -1.0822 3.0229


(2)
! BeSb GGA-PBE optimized geometry; values from VASP
! formation energy without anion corrections = 0.295 eV per atom
! crystal system = hexagonal
! Fermi-level density of states = 0.35 states/eV/atom
! M_tot = 0.000 μB/f.u.
! SG = P6_3mc (186)
! offset from the most stable computed form = 12.2 kJ/mol of atoms
&SYSTEM
  ibrav = 0, nat = 4, ntyp = 2
/
ATOMIC_SPECIES
Be 9.01 Be.upf
Sb 121.76 Sb.upf
CELL_PARAMETERS angstrom
3.6933 0.0000 0.0000
-1.8466 3.1985 0.0000
0.0000 0.0000 7.3098
ATOMIC_POSITIONS angstrom
Be 1.8466 1.0662 6.4100
Be 0.0000 2.1323 2.7551
Sb 1.8466 1.0662 1.4992
Sb 0.0000 2.1323 5.1540


(3)
! Be7Sb GGA-PBE optimized geometry; values from VASP
! formation energy without anion corrections = 0.562 eV per atom
! crystal system = cubic
! Fermi-level density of states = 0.23 states/eV/atom
! M_tot = 0.000 μB/f.u.
! SG = Fm-3m (225)
&SYSTEM
  ibrav = 0, nat = 8, ntyp = 2
/
ATOMIC_SPECIES
Sb 121.76 Sb.upf
Be 9.01 Be.upf
CELL_PARAMETERS angstrom
0.0000 3.5412 3.5412
3.5412 0.0000 3.5412
3.5412 3.5412 0.0000
ATOMIC_POSITIONS angstrom
Sb 0.0000 0.0000 0.0000
Be 1.7706 1.7706 3.5412
Be 0.0000 1.7706 1.7706
Be 1.7706 0.0000 1.7706
Be 3.5412 3.5412 3.5412
Be 1.7706 3.5412 1.7706
Be 3.5412 1.7706 1.7706
Be 1.7706 1.7706 0.0000


(4)
! BeSb GGA-PBE optimized geometry; values from VASP
! formation energy without anion corrections = 0.288 eV per atom
! crystal system = orthorhombic
! Fermi-level density of states = 0.39 states/eV/atom
! M_tot = 0.000 μB/f.u.
! SG = Pmn2_1 (31)
! offset from the most stable computed form = 11.5 kJ/mol of atoms
&SYSTEM
  ibrav = 0, nat = 12, ntyp = 2
/
ATOMIC_SPECIES
Be 9.01 Be.upf
Sb 121.76 Sb.upf
CELL_PARAMETERS angstrom
-2.9607 -7.3114 7.8016
3.8942 -0.1331 1.3531
-1.0007 3.8866 3.2626
ATOMIC_POSITIONS angstrom
Be 0.8409 0.0631 8.2668
Be 1.4119 -1.5939 3.9221
Be 0.2827 -4.3823 6.8975
Be 0.1134 1.2560 4.2286
Be -1.7182 -3.2670 9.0549
Be 0.1000 1.8685 1.7890
Sb -2.0196 -5.2972 7.2237
Sb -0.3847 -2.7134 5.1997
Sb -0.1182 -0.6020 2.2136
Sb 0.5982 -2.4066 8.6829
Sb 1.7892 2.8448 3.3450
Sb 1.6576 0.2095 5.8913


(5)
! Be2Sb GGA-PBE optimized geometry; values from VASP
! formation energy without anion corrections = 0.709 eV per atom
! crystal system = hexagonal
! Fermi-level density of states = 0.40 states/eV/atom
! M_tot = 0.000 μB/f.u.
! SG = P-62m (189)
! offset from the most stable computed form = 49.4 kJ/mol of atoms
&SYSTEM
  ibrav = 0, nat = 9, ntyp = 2
/
ATOMIC_SPECIES
Sb 121.76 Sb.upf
Be 9.01 Be.upf
CELL_PARAMETERS angstrom
3.2936 -5.7047 0.0000
3.2936 5.7047 0.0000
0.0000 0.0000 3.8056
ATOMIC_POSITIONS angstrom
Sb 3.2936 1.9016 0.0000
Sb 3.2936 -1.9016 0.0000
Sb 0.0000 0.0000 1.9028
Be 4.8055 0.0000 0.0000
Be 0.8909 -1.5430 0.0000
Be 1.9292 3.3416 1.9028
Be 2.7288 0.0000 1.9028
Be 1.9292 -3.3416 1.9028
Be 0.8909 1.5430 0.0000


(6)
! BeSb GGA-PBE optimized geometry; values from VASP
! formation energy without anion corrections = 0.363 eV per atom
! crystal system = orthorhombic
! Fermi-level density of states = 0.28 states/eV/atom
! M_tot = 0.000 μB/f.u.
! SG = Pmmn (59)
! offset from the most stable computed form = 18.8 kJ/mol of atoms
&SYSTEM
  ibrav = 0, nat = 12, ntyp = 2
/
ATOMIC_SPECIES
Sb 121.76 Sb.upf
Be 9.01 Be.upf
CELL_PARAMETERS angstrom
-2.9724 -2.4384 0.5190
-0.2092 -1.1823 -6.7534
7.1694 -8.4712 1.2609
ATOMIC_POSITIONS angstrom
Sb -1.5770 -1.7323 -2.6713
Sb 0.7958 -2.2764 -6.1379
Sb 3.0762 -6.7033 0.6231
Sb 3.4663 -4.9048 -3.1922
Sb 5.9826 -8.4049 -5.2256
Sb 1.0935 -4.3607 0.2744
Be -0.5313 -2.5872 -0.6991
Be 2.4206 -4.0499 -5.1644
Be -0.1339 -0.7569 -4.3237
Be 4.4005 -6.3893 -4.8162
Be 4.6582 -8.7189 0.2136
Be 2.0233 -5.8801 -1.5397


(7)
! BeSb GGA-PBE optimized geometry; values from VASP
! formation energy without anion corrections = 0.372 eV per atom
! crystal system = cubic
! Fermi-level density of states = 0.36 states/eV/atom
! M_tot = 0.000 μB/f.u.
! SG = Fm-3m (225)
! offset from the most stable computed form = 19.6 kJ/mol of atoms
&SYSTEM
  ibrav = 0, nat = 2, ntyp = 2
/
ATOMIC_SPECIES
Be 9.01 Be.upf
Sb 121.76 Sb.upf
CELL_PARAMETERS angstrom
-1.3593 1.8085 2.9435
0.0608 -3.7111 -0.0391
3.2305 -1.8116 0.2577
ATOMIC_POSITIONS angstrom
Be 2.1546 -2.1690 2.1565
Sb 1.2492 -4.0230 0.5360


(8)
! BeSb GGA-PBE optimized geometry; values from VASP
! formation energy without anion corrections = 0.372 eV per atom
! crystal system = tetragonal
! Fermi-level density of states = 0.26 states/eV/atom
! M_tot = 0.000 μB/f.u.
! SG = P4/m (83)
! offset from the most stable computed form = 19.6 kJ/mol of atoms
&SYSTEM
  ibrav = 0, nat = 16, ntyp = 2
/
ATOMIC_SPECIES
Sb 121.76 Sb.upf
Be 9.01 Be.upf
CELL_PARAMETERS angstrom
-0.1941 -8.6385 -6.5987
-1.9026 -6.4709 8.5271
-4.0002 0.4885 -0.5218
ATOMIC_POSITIONS angstrom
Sb -1.3977 -11.6009 -0.1453
Sb -1.7013 -8.6021 4.9893
Sb -0.6990 -3.5085 2.0738
Sb -0.3953 -6.5073 -3.0609
Sb -3.1727 -5.3058 3.5324
Sb -2.4509 -4.5094 -1.2552
Sb -2.9242 -9.3151 -2.1259
Sb -3.6460 -10.1114 2.6617
Be -0.2159 -4.0810 -2.1654
Be -2.6207 -6.9267 -2.2167
Be -2.7467 -4.3811 1.1325
Be -1.8808 -11.0283 4.0939
Be -3.3502 -10.2398 0.2741
Be -1.1182 -4.3669 4.4837
Be -0.9785 -10.7424 -2.5553
Be -3.4762 -7.6942 3.6232


(9)
! Be2Sb GGA-PBE optimized geometry; values from VASP
! formation energy without anion corrections = 0.710 eV per atom
! crystal system = hexagonal
! Fermi-level density of states = 0.38 states/eV/atom
! M_tot = 0.000 μB/f.u.
! SG = P6_3/mmc (194)
! offset from the most stable computed form = 49.5 kJ/mol of atoms
&SYSTEM
  ibrav = 0, nat = 6, ntyp = 2
/
ATOMIC_SPECIES
Be 9.01 Be.upf
Sb 121.76 Sb.upf
CELL_PARAMETERS angstrom
-0.3761 4.4780 -0.9867
-1.6123 -3.1474 -2.9431
-4.4369 0.1318 2.2896
ATOMIC_POSITIONS angstrom
Be -4.1159 2.0351 0.0784
Be -2.2185 0.0659 1.1448
Be -2.3095 -0.5727 -1.7186
Be 0.0000 0.0000 0.0000
Sb -4.5279 -0.5068 -0.5737
Sb -1.8974 1.9691 -1.0664


(10)
! BeSb GGA-PBE optimized geometry; values from VASP
! formation energy without anion corrections = 0.509 eV per atom
! crystal system = hexagonal
! Fermi-level density of states = 0.35 states/eV/atom
! M_tot = 0.000 μB/f.u.
! SG = P6_3/mmc (194)
! offset from the most stable computed form = 32.9 kJ/mol of atoms
&SYSTEM
  ibrav = 0, nat = 4, ntyp = 2
/
ATOMIC_SPECIES
Be 9.01 Be.upf
Sb 121.76 Sb.upf
CELL_PARAMETERS angstrom
-1.7391 -3.0428 -1.4268
1.7786 -0.2262 3.3322
-5.3207 1.6567 2.9525
ATOMIC_POSITIONS angstrom
Be -4.5571 -0.8614 2.3739
Be -0.7241 -0.7509 2.4840
Sb 0.0000 0.0000 0.0000
Sb -2.6604 0.8284 1.4762


(11)
! BeSb GGA-PBE optimized geometry; values from VASP
! formation energy without anion corrections = 0.595 eV per atom
! crystal system = monoclinic
! Fermi-level density of states = 0.63 states/eV/atom
! M_tot = 0.000 μB/f.u.
! SG = Pm (6)
! offset from the most stable computed form = 41.2 kJ/mol of atoms
&SYSTEM
  ibrav = 0, nat = 2, ntyp = 2
/
ATOMIC_SPECIES
Be 9.01 Be.upf
Sb 121.76 Sb.upf
CELL_PARAMETERS angstrom
-2.8808 -0.6895 0.5856
0.8376 -3.5587 -0.0710
0.6940 0.0917 3.5895
ATOMIC_POSITIONS angstrom
Be -1.5866 -3.0076 3.5428
Sb -2.3614 -1.2760 1.7854


(12)
! BeSb GGA-PBE optimized geometry; values from VASP
! formation energy without anion corrections = 0.463 eV per atom
! crystal system = orthorhombic
! Fermi-level density of states = 0.32 states/eV/atom
! M_tot = 0.000 μB/f.u.
! SG = Pmma (51)
! offset from the most stable computed form = 28.4 kJ/mol of atoms
&SYSTEM
  ibrav = 0, nat = 4, ntyp = 2
/
ATOMIC_SPECIES
Be 9.01 Be.upf
Sb 121.76 Sb.upf
CELL_PARAMETERS angstrom
3.5147 0.0000 0.0000
0.0000 3.7089 0.0000
0.0000 0.0000 6.0538
ATOMIC_POSITIONS angstrom
Be 0.0000 1.8545 1.5490
Be 0.0000 0.0000 0.4689
Sb 1.7573 1.8545 5.5516
Sb 1.7573 0.0000 2.5201